1.
VASP calculation (meta-GGA SCAN) on Ba3La3Cu6O14 at its PBEsol-relaxed geometry.

The structure in extended XYZ format:
```
26
Lattice="5.468 0.018 0.000 -0.119 5.467 0.000 -2.674 -2.742 11.579" Properties=species:S:1:pos:R:3 pbc="T T T"
Ba 2.674 2.742 2.069
Ba 0.000 0.000 2.114
Ba 2.674 2.742 9.503
La 0.000 0.000 5.801
La 2.674 2.742 5.818
La 0.000 0.000 9.463
Cu -0.060 2.733 4.027
Cu 2.734 0.009 4.027
Cu -0.060 2.733 7.579
Cu 2.734 0.009 7.579
Cu -0.060 2.733 11.541
Cu 2.734 0.009 11.541
O -0.060 2.733 1.806
O 2.734 0.009 1.806
O -0.060 2.733 9.693
O 2.734 0.009 9.693
O 4.011 4.113 4.270
O 1.338 1.372 4.270
O 1.284 4.098 4.294
O 4.064 1.387 4.294
O -1.321 -1.354 7.420
O 1.321 1.354 7.420
O 1.355 -1.321 7.452
O -1.355 1.321 7.452
O 1.152 1.181 11.375
O -1.152 -1.181 11.375
```

Output
The volume is 346 Å³/f.u. Its density of states at the Fermi level is 0.19 states/eV/atom. Its total energy is -18.54 eV per atom.

2.
VASP calculation (meta-GGA SCAN) on AlZn2Cl at its PBEsol-relaxed geometry.

The structure in extended XYZ format:
```
4
Lattice="3.319 0.000 0.000 1.660 2.874 0.000 1.660 0.958 7.342" Properties=species:S:1:pos:R:3 pbc="T T T"
Zn 1.660 0.958 1.891
Zn 4.979 2.874 5.451
Al 3.319 1.916 3.671
Cl 0.000 0.000 0.000
```

Output
The volume is 70 Å³/f.u. Its density of states at the Fermi level is 0.23 states/eV/atom. The offset from the most stable computed form is 0.000 eV per atom.